Density functional theory data (PBE) for a relaxed structure of MnTeCl2.

Geometry as POSCAR:
```
MnTeCl2
1.0
1.9545 -2.5518 0.0000
1.9545 2.5518 0.0000
0.0000 0.0000 11.5334
Mn Te Cl
1 1 2
Cartesian
0.0000 0.0000 0.0000 Mn
0.0000 0.0000 5.7667 Te
1.9545 0.0000 1.5699 Cl
1.9545 0.0000 9.9636 Cl
```

## Properties
V ... 115 Å³/cell
Polymorph energy (0 for the lowest one) ... 129 meV per atom
DOS at the Fermi energy ... 1.4 states/eV/cell
Formation energy (no corrections) ... -472.5 meV/atom
Crystal system ... orthorhombic
Size of the total moment ... 4.99 μB per cell